First-principles (PBE-GGA) data for a relaxed SnPRhCl2 crystal, as listed in Alexandria.

abc: 5.073 5.073 5.277
angles: 90.00 90.00 90.00
Space group P4/mmm (No. 123)
Inequivalent atoms, fractional coordinates:
Sn 0.000 0.000 0.000 x1
P 0.000 0.000 0.500 x1
Rh 0.500 0.500 0.500 x1
Cl 0.000 0.500 0.000 x2

## Properties
DOS(E_F)   7.2 states/eV per cell
Distance to the lowest polymorph of the same formula   731 meV/atom
E   -3.37 eV per atom
Magnetic moment   2.174 μB per formula unit
ΔE_f (raw)   0.72 eV/atom


First-principles (PBE-GGA) data for a relaxed Ba2Mg5Tl3 crystal, as listed in Alexandria.

abc: 4.921 4.921 13.126
angles: 90.00 90.00 90.00
Space group P-4m2 (No. 115)
Inequivalent atoms, fractional coordinates:
Ba 0.000 0.500 0.240 x2
Mg 0.000 0.000 0.500 x1
Mg 0.000 0.500 0.637 x2
Mg 0.500 0.500 0.000 x1
Mg 0.500 0.500 0.500 x1
Tl 0.000 0.000 0.000 x1
Tl 0.000 0.500 0.859 x2

## Properties
DOS(E_F)   6.1 states/eV per cell
Energy of formation   -0.134 eV/atom
Distance to the lowest polymorph of the same formula   66 meV/atom
E   -2.03 eV per atom
Magnetic moment   0.000 μB per formula unit


First-principles (PBE-GGA) data for a relaxed Tb2SmTmBi4 crystal, as listed in Alexandria.

abc: 7.784 4.498 7.786
angles: 90.00 109.48 90.00
Space group P2/m (No. 10)
Inequivalent atoms, fractional coordinates:
Tb 0.000 0.000 0.000 x1
Tb 0.500 0.500 0.000 x1
Sm 0.000 0.500 0.500 x1
Tm 0.500 0.000 0.500 x1
Bi 0.254 0.000 0.751 x2
Bi 0.254 0.500 0.251 x2

## Properties
DOS(E_F)   1.2 states/eV per cell
Energy of formation   -0.863 eV/atom
E   -5.11 eV per atom
Magnetic moment   0.000 μB per formula unit